Material: BeMo
Method: DFT, GGA-PBE
State: optimized geometry

a = 2.5857 Å, b = 4.3279 Å, c = 4.3593 Å
α = 90.00°, β = 90.00°, γ = 90.00°
Closest atoms and distances in Å follow each position.
Fractional positions:
Mo (0.5000, 0.5000, 0.8816)  8 Be 2.52-2.55, 2 Mo 2.59
Mo (0.5000, 0.0000, 0.4517)  8 Be 2.52-2.55, 2 Mo 2.59
Be (0.0000, 0.0000, 0.9551)  8 Mo 2.52-2.55, 2 Be 2.59
Be (0.0000, 0.5000, 0.3782)  8 Mo 2.52-2.55, 2 Be 2.59

**ΔH_f (0 K)**: 90 meV per atom
**Excess energy over the best structure of this formula in the dataset**: 327 meV per atom
**Fermi-level density of states**: 2.22 states/eV/cell

***

Material: BeMo2
Method: DFT, GGA-PBE
State: optimized geometry

a = 4.7218 Å, b = 4.7218 Å, c = 7.6132 Å
α = 65.91°, β = 65.91°, γ = 32.11°
Closest atoms and distances in Å follow each position.
Fractional positions:
Mo (0.0169, 0.0169, 0.2972)  5 Be 2.57-2.63, 3 Mo 2.61-2.66
Mo (0.6612, 0.6612, 0.8983)  2 Be 2.56, 4 Mo 2.61-2.67
Mo (0.3388, 0.3388, 0.1017)  2 Be 2.56, 4 Mo 2.61-2.67
Mo (0.9831, 0.9831, 0.7028)  5 Be 2.57-2.63, 3 Mo 2.61-2.66
Be (0.6993, 0.6993, 0.4199)  2 Be 2.23
Be (0.3007, 0.3007, 0.5801)  2 Be 2.23

**ΔH_f (0 K)**: 164 meV per atom
**Excess energy over the best structure of this formula in the dataset**: 289 meV per atom
**Fermi-level density of states**: 3.16 states/eV/cell

***

Material: BeMo
Method: DFT, GGA-PBE
State: optimized geometry

a = 4.7493 Å, b = 5.5089 Å, c = 2.5370 Å
α = 76.69°, β = 74.51°, γ = 50.23°
Closest atoms and distances in Å follow each position.
Fractional positions:
Mo (0.3402, 0.1084, 0.2757)  3 Mo 2.54-2.76, 7 Be 2.56-2.59
Mo (0.5765, 0.4749, 0.4743)  3 Mo 2.54-2.76, 7 Be 2.56-2.59
Be (0.9180, 0.6418, 0.7201)  2 Be 2.25
Be (0.9986, 0.9415, 0.0299)  2 Be 2.25

**ΔH_f (0 K)**: 47 meV per atom
**Excess energy over the best structure of this formula in the dataset**: 283 meV per atom
**Fermi-level density of states**: 1.48 states/eV/cell

***

Material: Be4Mo
Method: DFT, GGA-PBE
State: optimized geometry

a = 4.5953 Å, b = 4.5953 Å, c = 4.5953 Å
α = 109.47°, β = 109.47°, γ = 109.47°
Closest atoms and distances in Å follow each position.
Fractional positions:
Be (0.0000, 0.0000, 0.5000)  2 Mo 2.30
Be (0.5000, 0.0000, 0.0000)  2 Mo 2.30
Be (0.0000, 0.5000, 0.0000)  2 Mo 2.30
Be (0.5000, 0.5000, 0.5000)  2 Mo 2.30
Mo (0.0000, 0.0000, 0.0000)  8 Be 2.30

**ΔH_f (0 K)**: 1221 meV per atom
**Excess energy over the best structure of this formula in the dataset**: 1375 meV per atom
**Fermi-level density of states**: 3.58 states/eV/cell